AcTm2Pd | GGA-PBE | relaxed

Results
The calculation puts the relative energy among the computed polymorphs at 88 meV/atom. The calculation puts the raw total energy at -4.88 eV per atom. As for the space-group type: No. 166. Its total magnetization is 0.000 μB/atom.

Unit cell a=3.980 b=3.980 c=9.626 alpha=78.07 beta=78.07 gamma=60.00
Fractional coordinates of all 4 atoms:
Tm1 0.722 0.722 0.833
Tm2 0.278 0.278 0.167
Ac1 0.500 0.500 0.500
Pd1 0.000 0.000 0.000

Er2PuIn3 | GGA-PBE | relaxed

Results
The calculation puts the raw total energy at -5.62 eV per atom. As for the space-group type: No. 123. Its total magnetization is 1.059 μB/atom.

Unit cell a=3.359 b=3.359 c=13.764 alpha=90.00 beta=90.00 gamma=90.00
Fractional coordinates of all 6 atoms:
In1 0.000 0.000 0.000
In2 0.000 0.000 0.328
In3 0.000 0.000 0.672
Pu1 0.500 0.500 0.500
Er1 0.500 0.500 0.837
Er2 0.500 0.500 0.163

Number 1: DFT formation energy -1.3 eV per formula unit. Number 2: DFT formation energy -2.1 eV per formula unit.